Entry a
## MnAlW3 (PBE)

Data for MnAlW3 after structural relaxation.

a b c (Å): 4.4721 4.4721 4.4721
angles (deg): 90.00 90.00 90.00
With the nearest neighbours (Å) after each atom.
Element x y z (fractional)
Mn1 0.0000 0.0000 0.0000  12 W 3.16
Al1 0.5000 0.5000 0.5000  6 W 2.24
W1 0.0000 0.5000 0.5000  2 Al 2.24
W2 0.5000 0.0000 0.5000  2 Al 2.24
W3 0.5000 0.5000 0.0000  2 Al 2.24

Output
Magnetization   0.000 μB per formula unit

Entry b
## MnAlW3 (PBE)

Data for MnAlW3 after structural relaxation.

a b c (Å): 4.4743 4.4743 4.4743
angles (deg): 90.00 90.00 90.00
With the nearest neighbours (Å) after each atom.
Element x y z (fractional)
Mn1 0.0000 0.0000 0.0000  6 W 2.24
Al1 0.5000 0.5000 0.5000  12 W 3.16
W1 0.0000 0.0000 0.5000  2 Mn 2.24
W2 0.0000 0.5000 0.0000  2 Mn 2.24
W3 0.5000 0.0000 0.0000  2 Mn 2.24

Output
Magnetization   0.000 μB per formula unit

Which is most stable? The ranking, best first, is entry b, entry a.

Entry a
## Mn3AlW (PBE)

Data for Mn3AlW after structural relaxation.

a b c (Å): 4.5700 4.5700 4.5700
angles (deg): 90.00 90.00 90.00
With the nearest neighbours (Å) after each atom.
Element x y z (fractional)
Mn1 0.0000 0.0000 0.5000  2 W 2.29
Mn2 0.0000 0.5000 0.0000  2 W 2.29
Mn3 0.5000 0.0000 0.0000  2 W 2.29
Al1 0.5000 0.5000 0.5000  12 Mn 3.23
W1 0.0000 0.0000 0.0000  6 Mn 2.29

Output
Magnetization   6.752 μB per formula unit

Entry b
## Mn3AlW (PBE)

Data for Mn3AlW after structural relaxation.

a b c (Å): 4.1233 4.1233 4.1233
angles (deg): 90.00 90.00 90.00
With the nearest neighbours (Å) after each atom.
Element x y z (fractional)
Mn1 0.0000 0.0000 0.5000  2 Al 2.06
Mn2 0.0000 0.5000 0.0000  2 Al 2.06
Mn3 0.5000 0.0000 0.0000  2 Al 2.06
Al1 0.0000 0.0000 0.0000  6 Mn 2.06
W1 0.5000 0.5000 0.5000  12 Mn 2.92

Output
Magnetization   0.000 μB per formula unit

Which is most stable? The ranking, best first, is entry a, entry b.

Entry a
## MnAlZn3 (PBE)

Data for MnAlZn3 after structural relaxation.

a b c (Å): 4.7776 4.7776 4.7776
angles (deg): 90.00 90.00 90.00
With the nearest neighbours (Å) after each atom.
Element x y z (fractional)
Mn1 0.0000 0.0000 0.0000  12 Zn 3.38
Al1 0.5000 0.5000 0.5000  6 Zn 2.39
Zn1 0.0000 0.5000 0.5000  2 Al 2.39
Zn2 0.5000 0.0000 0.5000  2 Al 2.39
Zn3 0.5000 0.5000 0.0000  2 Al 2.39

Output
Magnetization   4.344 μB per formula unit

Entry b
## MnAlZn3 (PBE)

Data for MnAlZn3 after structural relaxation.

a b c (Å): 4.7199 4.7199 4.7199
angles (deg): 90.00 90.00 90.00
With the nearest neighbours (Å) after each atom.
Element x y z (fractional)
Mn1 0.0000 0.0000 0.0000  6 Zn 2.36
Al1 0.5000 0.5000 0.5000  12 Zn 3.34
Zn1 0.0000 0.0000 0.5000  2 Mn 2.36
Zn2 0.0000 0.5000 0.0000  2 Mn 2.36
Zn3 0.5000 0.0000 0.0000  2 Mn 2.36

Output
Magnetization   2.663 μB per formula unit

Which is most stable? The ranking, best first, is entry b, entry a.

Entry a
## MnAlZn6 (PBE)

Data for MnAlZn6 after structural relaxation.

a b c (Å): 5.5390 5.5390 3.8588
angles (deg): 90.00 90.00 90.34
With the nearest neighbours (Å) after each atom.
Element x y z (fractional)
Mn1 0.0000 0.0000 0.0000  12 Zn 2.71-2.77
Al1 0.5000 0.5000 0.0000  12 Zn 2.77-2.79
Zn1 0.0000 0.5000 0.0000  8 Zn 2.75, 2 Al 2.77, 2 Mn 2.77
Zn2 0.2427 0.7573 0.5000  8 Zn 2.70-2.84, 2 Mn 2.71, 2 Al 2.79
Zn3 0.2440 0.2440 0.5000  8 Zn 2.70-2.84, 2 Mn 2.71, 2 Al 2.78
Zn4 0.5000 0.0000 0.0000  8 Zn 2.75, 2 Al 2.77, 2 Mn 2.77
Zn5 0.7560 0.7560 0.5000  8 Zn 2.70-2.84, 2 Mn 2.71, 2 Al 2.78
Zn6 0.7573 0.2427 0.5000  8 Zn 2.70-2.84, 2 Mn 2.71, 2 Al 2.79

Output
Magnetization   3.230 μB per formula unit

Entry b
## MnAlZn6 (PBE)

Data for MnAlZn6 after structural relaxation.

a b c (Å): 5.2099 5.2099 5.2099
angles (deg): 85.57 85.57 85.57
With the nearest neighbours (Å) after each atom.
Element x y z (fractional)
Mn1 0.0000 0.0000 0.0000  6 Zn 2.59
Al1 0.5000 0.5000 0.5000  6 Zn 2.62
Zn1 0.0297 0.6597 0.6597  5 Zn 2.49-2.75, 1 Mn 2.59, 1 Al 2.62
Zn2 0.3403 0.3403 0.9703  5 Zn 2.49-2.75, 1 Mn 2.59, 1 Al 2.62
Zn3 0.3403 0.9703 0.3403  5 Zn 2.49-2.75, 1 Mn 2.59, 1 Al 2.62
Zn4 0.6597 0.0297 0.6597  5 Zn 2.49-2.75, 1 Mn 2.59, 1 Al 2.62
Zn5 0.6597 0.6597 0.0297  5 Zn 2.49-2.75, 1 Mn 2.59, 1 Al 2.62
Zn6 0.9703 0.3403 0.3403  5 Zn 2.49-2.75, 1 Mn 2.59, 1 Al 2.62

Output
Magnetization   3.784 μB per formula unit

Which is most stable? The ranking, best first, is entry a, entry b.

Entry a
## MnAlZn4 (PBE)

Data for MnAlZn4 after structural relaxation.

a b c (Å): 4.3189 8.7126 5.4571
angles (deg): 90.00 90.01 90.00
With the nearest neighbours (Å) after each atom.
Element x y z (fractional)
Mn1 0.0023 0.2500 0.0012  2 Al 2.51, 8 Zn 2.53-2.75
Mn2 0.9977 0.7500 0.9988  2 Al 2.51, 8 Zn 2.53-2.75
Al1 0.4976 0.7500 0.7630  2 Mn 2.51, 3 Zn 2.61-2.64
Al2 0.5024 0.2500 0.2370  2 Mn 2.51, 3 Zn 2.61-2.64
Zn1 0.0018 0.0007 0.2394  2 Mn 2.53-2.55, 3 Zn 2.59-2.61
Zn2 0.0018 0.4993 0.2394  2 Mn 2.53-2.55, 3 Zn 2.59-2.61
Zn3 0.0028 0.2500 0.5044  6 Zn 2.55-2.61, 2 Al 2.61, 2 Mn 2.71-2.75
Zn4 0.4976 0.7500 0.2468  2 Mn 2.55, 2 Zn 2.55, 2 Al 2.64-2.82
Zn5 0.5024 0.2500 0.7532  2 Mn 2.55, 2 Zn 2.55, 2 Al 2.64-2.82
Zn6 0.9972 0.7500 0.4956  6 Zn 2.55-2.61, 2 Al 2.61, 2 Mn 2.71-2.75
Zn7 0.9982 0.5007 0.7606  2 Mn 2.53-2.55, 3 Zn 2.59-2.61
Zn8 0.9982 0.9993 0.7606  2 Mn 2.53-2.55, 3 Zn 2.59-2.61

Output
Magnetization   2.525 μB per formula unit

Entry b
## MnAlZn4 (PBE)

Data for MnAlZn4 after structural relaxation.

a b c (Å): 5.0343 5.0343 5.0343
angles (deg): 60.00 60.00 60.00
With the nearest neighbours (Å) after each atom.
Element x y z (fractional)
Mn1 0.0000 0.0000 0.0000  12 Zn 2.95, 4 Al 3.08
Al1 0.7500 0.7500 0.7500  12 Zn 2.95, 4 Mn 3.08
Zn1 0.3745 0.3745 0.3745  6 Zn 2.51-2.53
Zn2 0.3745 0.3745 0.8764  6 Zn 2.51-2.53
Zn3 0.3745 0.8764 0.3745  6 Zn 2.51-2.53
Zn4 0.8764 0.3745 0.3745  6 Zn 2.51-2.53

Output
Magnetization   3.323 μB per formula unit

Which is most stable? The ranking, best first, is entry a, entry b.